i:
# Ta2TiO6

A relaxed Ta2TiO6 crystal (PBE, the Alexandria database).

Cell: 5.6920 5.6920 7.4334 Å, 70.42 70.42 74.17°
Closest atoms and distances in Å follow each position.
Element x y z (fractional)
Ta1 0.3208 0.3208 0.1779  6 O 1.98-2.11
Ta2 0.6792 0.6792 0.8221  6 O 1.98-2.11
Ta3 0.0000 0.0000 0.5000  6 O 2.02-2.12
Ta4 0.0000 0.0000 0.0000  6 O 2.00-2.06
Ti1 0.3473 0.3473 0.6516  6 O 1.97-2.17
Ti2 0.6527 0.6527 0.3484  6 O 1.97-2.17
O1 0.2290 0.2290 0.9706  2 Ta 2.00-2.04, 1 Ti 2.15
O2 0.5670 0.5670 0.6421  2 Ti 1.97-1.99, 1 Ta 1.99
O3 0.9061 0.9061 0.2969  2 Ta 2.00-2.02, 1 Ti 2.17
O4 0.4330 0.4330 0.3579  2 Ti 1.97-1.99, 1 Ta 1.99
O5 0.7710 0.7710 0.0294  2 Ta 2.00-2.04, 1 Ti 2.15
O6 0.0939 0.0939 0.7031  2 Ta 2.00-2.02, 1 Ti 2.17
O7 0.9605 0.3828 0.3296  2 Ta 1.98-2.12, 1 Ti 1.99
O8 0.3001 0.6999 0.0000  3 Ta 2.06-2.11
O9 0.6172 0.0395 0.6704  2 Ta 1.98-2.12, 1 Ti 1.99
O10 0.3828 0.9605 0.3296  2 Ta 1.98-2.12, 1 Ti 1.99
O11 0.6999 0.3001 0.0000  3 Ta 2.06-2.11
O12 0.0395 0.6172 0.6704  2 Ta 1.98-2.12, 1 Ti 1.99

- Fermi-level density of states (states/eV/f.u.) = 2.596


ii:
# Ta2TiO6

A relaxed Ta2TiO6 crystal (PBE, the Alexandria database).

Cell: 4.8370 4.8370 9.0666 Å, 90.00 90.00 90.00°
Closest atoms and distances in Å follow each position.
Element x y z (fractional)
Ta1 0.5000 0.5000 0.3298  6 O 2.01-2.04
Ta2 0.5000 0.5000 0.6702  6 O 2.01-2.04
Ta3 0.0000 0.0000 0.1702  6 O 2.01-2.04
Ta4 0.0000 0.0000 0.8298  6 O 2.01-2.04
Ti1 0.5000 0.5000 0.0000  6 O 2.08
Ti2 0.0000 0.0000 0.5000  6 O 2.08
O1 0.7039 0.7039 0.1702  2 Ta 2.01-2.03, 1 Ti 2.08
O2 0.7039 0.7039 0.8298  2 Ta 2.01-2.03, 1 Ti 2.08
O3 0.6961 0.6961 0.5000  2 Ta 2.04, 1 Ti 2.08
O4 0.8039 0.1961 0.0000  2 Ta 2.04, 1 Ti 2.08
O5 0.7961 0.2039 0.3298  2 Ta 2.01-2.03, 1 Ti 2.08
O6 0.7961 0.2039 0.6702  2 Ta 2.01-2.03, 1 Ti 2.08
O7 0.2039 0.7961 0.3298  2 Ta 2.01-2.03, 1 Ti 2.08
O8 0.2039 0.7961 0.6702  2 Ta 2.01-2.03, 1 Ti 2.08
O9 0.1961 0.8039 0.0000  2 Ta 2.04, 1 Ti 2.08
O10 0.3039 0.3039 0.5000  2 Ta 2.04, 1 Ti 2.08
O11 0.2961 0.2961 0.1702  2 Ta 2.01-2.03, 1 Ti 2.08
O12 0.2961 0.2961 0.8298  2 Ta 2.01-2.03, 1 Ti 2.08

- Fermi-level density of states (states/eV/f.u.) = 3.975


It turns out i is the most stable, with the second structure 5 meV per atom higher.


i:
# Ta2TiO6

A relaxed Ta2TiO6 crystal (PBE, the Alexandria database).

Cell: 3.7857 5.3436 6.6913 Å, 67.50 73.57 69.25°
Closest atoms and distances in Å follow each position.
Element x y z (fractional)
Ta1 0.1822 0.7758 0.8597  4 O 1.86-1.98
Ta2 0.8178 0.2242 0.1403  4 O 1.86-1.98
Ti1 0.0000 0.5000 0.5000  2 O 2.05
O1 0.6972 0.6707 0.9349  3 Ta 1.98-2.21
O2 0.3028 0.3293 0.0651  3 Ta 1.98-2.21
O3 0.9834 0.8247 0.2085  1 Ta 1.90, 1 Ti 2.05
O4 0.3537 0.6965 0.5960  1 Ta 1.86
O5 0.0166 0.1753 0.7915  1 Ta 1.90, 1 Ti 2.05
O6 0.6463 0.3035 0.4040  1 Ta 1.86

- Fermi-level density of states (states/eV/f.u.) = 2.729


ii:
# Ta2TiO6

A relaxed Ta2TiO6 crystal (PBE, the Alexandria database).

Cell: 5.7024 5.7024 7.4696 Å, 70.53 70.53 73.76°
Closest atoms and distances in Å follow each position.
Element x y z (fractional)
Ta1 0.8295 0.8295 0.6725  6 O 2.00-2.06
Ta2 0.8209 0.8209 0.1746  6 O 1.95-2.12
Ta3 0.1705 0.1705 0.3275  6 O 2.00-2.06
Ta4 0.1791 0.1791 0.8254  6 O 1.95-2.12
Ti1 0.5000 0.5000 0.5000  6 O 2.08-2.09
Ti2 0.5000 0.5000 0.0000  6 O 2.02-2.09
O1 0.5333 0.1248 0.1707  2 Ta 2.00-2.03, 1 Ti 2.09
O2 0.1955 0.8045 0.5000  2 Ta 2.05, 1 Ti 2.08
O3 0.3987 0.3987 0.8058  1 Ta 1.95, 2 Ti 2.02-2.08
O4 0.7393 0.7393 0.4674  2 Ta 2.00-2.02, 1 Ti 2.09
O5 0.0661 0.0661 0.1297  3 Ta 2.06-2.12
O6 0.2607 0.2607 0.5326  2 Ta 2.00-2.02, 1 Ti 2.09
O7 0.6013 0.6013 0.1942  1 Ta 1.95, 2 Ti 2.02-2.08
O8 0.9339 0.9339 0.8703  3 Ta 2.06-2.12
O9 0.4667 0.8752 0.8293  2 Ta 2.00-2.03, 1 Ti 2.09
O10 0.8045 0.1955 0.5000  2 Ta 2.05, 1 Ti 2.08
O11 0.1248 0.5333 0.1707  2 Ta 2.00-2.03, 1 Ti 2.09
O12 0.8752 0.4667 0.8293  2 Ta 2.00-2.03, 1 Ti 2.09

- Fermi-level density of states (states/eV/f.u.) = 3.791


It turns out ii is the most stable, with the second structure 134 meV per atom higher.